Record 1
# Zr2HPd2, relaxed, DFT GGA-PBE
data_Zr2HPd2
_chemical_formula_sum 'Zr4 H2 Pd4'
_symmetry_space_group_name_H-M 'P 4/m b m'
_symmetry_Int_Tables_number 127
_symmetry_space_group_name_Hall '-P 4 2ab'
_cell_length_a 5.980
_cell_length_b 5.980
_cell_length_c 4.632
_cell_angle_alpha 90.00
_cell_angle_beta 90.00
_cell_angle_gamma 90.00
loop_
_atom_site_label
_atom_site_type_symbol
_atom_site_fract_x
_atom_site_fract_y
_atom_site_fract_z
Zr1 Zr 0.172 0.328 0.000
H1 H 0.000 0.000 0.000
Pd1 Pd 0.158 0.658 0.500
# Energy above the most stable polymorph in this dataset in meV/atom: 0

---

Record 2
# ZrH4Pd, relaxed, DFT GGA-PBE
data_ZrH4Pd
_chemical_formula_sum 'Zr1 H4 Pd1'
_symmetry_space_group_name_H-M 'P 4/m m m'
_symmetry_Int_Tables_number 123
_symmetry_space_group_name_Hall '-P 4 2'
_cell_length_a 3.382
_cell_length_b 3.382
_cell_length_c 4.441
_cell_angle_alpha 90.00
_cell_angle_beta 90.00
_cell_angle_gamma 90.00
loop_
_atom_site_label
_atom_site_type_symbol
_atom_site_fract_x
_atom_site_fract_y
_atom_site_fract_z
Zr1 Zr 0.000 0.000 0.000
H1 H 0.000 0.500 0.264
Pd1 Pd 0.500 0.500 0.500
# VASP energy in eV/cell: -28.24

---

Record 3
# Zr2H2Pd, relaxed, DFT GGA-PBE
data_Zr2H2Pd
_chemical_formula_sum 'Zr4 H4 Pd2'
_symmetry_space_group_name_H-M 'I 4/m m m'
_symmetry_Int_Tables_number 139
_symmetry_space_group_name_Hall '-I 4 2'
_cell_length_a 3.237
_cell_length_b 3.237
_cell_length_c 12.467
_cell_angle_alpha 90.00
_cell_angle_beta 90.00
_cell_angle_gamma 90.00
loop_
_atom_site_label
_atom_site_type_symbol
_atom_site_fract_x
_atom_site_fract_y
_atom_site_fract_z
Zr1 Zr 0.000 0.000 0.143
H1 H 0.000 0.500 0.250
Pd1 Pd 0.000 0.000 0.500
# VASP energy in eV/cell: -63.53

---

Record 4
# Zr3HPd, relaxed, DFT GGA-PBE
data_Zr3HPd
_chemical_formula_sum 'Zr3 H1 Pd1'
_symmetry_space_group_name_H-M 'P m -3 m'
_symmetry_Int_Tables_number 221
_symmetry_space_group_name_Hall '-P 4 2 3'
_cell_length_a 4.390
_cell_length_b 4.390
_cell_length_c 4.390
_cell_angle_alpha 90.00
_cell_angle_beta 90.00
_cell_angle_gamma 90.00
loop_
_atom_site_label
_atom_site_type_symbol
_atom_site_fract_x
_atom_site_fract_y
_atom_site_fract_z
Zr1 Zr 0.000 0.000 0.500
H1 H 0.000 0.000 0.000
Pd1 Pd 0.500 0.500 0.500
# Energy above the most stable polymorph in this dataset in meV/atom: 0